[1]
Material: Dy2ZnRu
Method: DFT, PBE-GGA
State: relaxed Values from VASP.

The structure in Quantum ESPRESSO input format:
```
&SYSTEM
  ibrav = 0, nat = 4, ntyp = 3
/
ATOMIC_SPECIES
Dy 162.50 Dy.upf
Zn 65.41 Zn.upf
Ru 101.07 Ru.upf
CELL_PARAMETERS angstrom
0.000 3.474 3.474
3.474 0.000 3.474
3.474 3.474 0.000
ATOMIC_POSITIONS angstrom
Dy 1.737 1.737 1.737
Dy 5.211 5.211 5.211
Zn 0.000 0.000 0.000
Ru 3.474 3.474 3.474
```


[2]
Material: Dy8ZnRu5
Method: DFT, PBE-GGA
State: relaxed Values from VASP.

The structure in Quantum ESPRESSO input format:
```
&SYSTEM
  ibrav = 0, nat = 14, ntyp = 3
/
ATOMIC_SPECIES
Dy 162.50 Dy.upf
Zn 65.41 Zn.upf
Ru 101.07 Ru.upf
CELL_PARAMETERS angstrom
-4.326 4.326 4.246
4.326 -4.326 4.246
4.326 4.326 -4.246
ATOMIC_POSITIONS angstrom
Dy 5.839 0.565 -0.502
Dy 1.633 -0.604 2.779
Dy 0.565 2.813 0.502
Dy 2.693 4.930 -1.468
Dy 3.722 2.693 1.468
Dy 3.761 1.513 4.748
Dy 0.604 1.633 5.714
Dy -1.513 3.761 3.744
Zn 0.000 0.000 0.000
Ru 2.997 2.162 -1.167
Ru 4.326 0.000 2.123
Ru 2.164 -1.329 5.413
Ru 1.329 2.164 3.079
Ru 2.162 5.655 1.167
```


[3]
Material: Dy5Zn4Ru
Method: DFT, PBE-GGA
State: relaxed Values from VASP.

The structure in Quantum ESPRESSO input format:
```
&SYSTEM
  ibrav = 0, nat = 10, ntyp = 3
/
ATOMIC_SPECIES
Dy 162.50 Dy.upf
Zn 65.41 Zn.upf
Ru 101.07 Ru.upf
CELL_PARAMETERS angstrom
3.514 0.000 0.000
0.000 3.514 0.000
0.000 0.000 17.907
ATOMIC_POSITIONS angstrom
Dy 0.000 0.000 0.000
Dy 0.000 0.000 3.620
Dy 0.000 0.000 7.321
Dy 0.000 0.000 10.586
Dy 0.000 0.000 14.288
Zn 1.757 1.757 1.815
Zn 1.757 1.757 5.408
Zn 1.757 1.757 12.499
Zn 1.757 1.757 16.093
Ru 1.757 1.757 8.954
```


[4]
Material: DyZn2Ru
Method: DFT, PBE-GGA
State: relaxed Values from VASP.

The structure in Quantum ESPRESSO input format:
```
&SYSTEM
  ibrav = 0, nat = 4, ntyp = 3
/
ATOMIC_SPECIES
Dy 162.50 Dy.upf
Zn 65.41 Zn.upf
Ru 101.07 Ru.upf
CELL_PARAMETERS angstrom
0.000 3.255 3.255
3.255 0.000 3.255
3.255 3.255 0.000
ATOMIC_POSITIONS angstrom
Dy 0.000 0.000 0.000
Zn 1.627 1.627 1.627
Zn 4.882 4.882 4.882
Ru 3.255 3.255 3.255
```


[5]
Material: Dy4ZnRu
Method: DFT, PBE-GGA
State: relaxed Values from VASP.

The structure in Quantum ESPRESSO input format:
```
&SYSTEM
  ibrav = 0, nat = 6, ntyp = 3
/
ATOMIC_SPECIES
Dy 162.50 Dy.upf
Zn 65.41 Zn.upf
Ru 101.07 Ru.upf
CELL_PARAMETERS angstrom
3.428 -3.428 0.000
3.428 3.428 0.000
-0.014 0.000 6.905
ATOMIC_POSITIONS angstrom
Dy 5.136 -1.715 1.653
Dy 1.707 1.715 5.252
Dy 5.136 1.715 1.653
Dy 1.707 -1.715 5.252
Zn -0.007 0.000 3.452
Ru 3.428 0.000 0.000
```


[6]
Material: Dy3Zn4Ru2
Method: DFT, PBE-GGA
State: relaxed Values from VASP.

The structure in Quantum ESPRESSO input format:
```
&SYSTEM
  ibrav = 0, nat = 9, ntyp = 3
/
ATOMIC_SPECIES
Dy 162.50 Dy.upf
Zn 65.41 Zn.upf
Ru 101.07 Ru.upf
CELL_PARAMETERS angstrom
4.901 -2.289 0.000
4.901 2.289 0.000
-3.062 0.000 7.843
ATOMIC_POSITIONS angstrom
Dy 0.000 0.000 0.000
Dy 2.478 0.000 2.478
Dy 4.262 0.000 5.364
Zn -0.458 0.000 3.128
Zn -0.053 0.000 7.336
Zn 6.794 0.000 0.506
Zn 7.199 0.000 4.714
Ru 1.278 0.000 5.170
Ru 5.462 0.000 2.673
```


[7]
Material: Dy4Zn2Ru
Method: DFT, PBE-GGA
State: relaxed Values from VASP.

The structure in Quantum ESPRESSO input format:
```
&SYSTEM
  ibrav = 0, nat = 7, ntyp = 3
/
ATOMIC_SPECIES
Dy 162.50 Dy.upf
Zn 65.41 Zn.upf
Ru 101.07 Ru.upf
CELL_PARAMETERS angstrom
4.920 0.000 0.000
0.000 4.920 0.000
0.000 0.000 7.000
ATOMIC_POSITIONS angstrom
Dy 0.000 2.460 1.715
Dy 0.000 2.460 5.286
Dy 2.460 0.000 1.715
Dy 2.460 0.000 5.286
Zn 0.000 0.000 0.000
Zn 2.460 2.460 3.500
Ru 2.460 2.460 0.000
```


[8]
Material: DyZn3Ru
Method: DFT, PBE-GGA
State: relaxed Values from VASP.

The structure in Quantum ESPRESSO input format:
```
&SYSTEM
  ibrav = 0, nat = 20, ntyp = 3
/
ATOMIC_SPECIES
Dy 162.50 Dy.upf
Zn 65.41 Zn.upf
Ru 101.07 Ru.upf
CELL_PARAMETERS angstrom
5.597 0.000 0.000
0.000 8.150 0.000
0.000 0.000 7.971
ATOMIC_POSITIONS angstrom
Dy 1.347 2.037 1.028
Dy 1.451 6.112 5.014
Dy 4.146 2.037 2.958
Dy 4.249 6.112 6.943
Zn 0.658 0.558 6.472
Zn 0.658 3.517 6.472
Zn 1.298 6.112 0.320
Zn 1.500 2.037 4.306
Zn 2.140 4.633 2.487
Zn 2.140 7.592 2.487
Zn 3.456 0.558 5.484
Zn 3.456 3.517 5.484
Zn 4.096 6.112 3.666
Zn 4.299 2.037 7.651
Zn 4.939 4.633 1.499
Zn 4.939 7.592 1.499
Ru 0.000 0.000 3.986
Ru 0.000 4.075 3.986
Ru 2.798 0.000 0.000
Ru 2.798 4.075 0.000
```


It is found that the energy of formation from the pure elements values, taken in the order of the records, are -0.363; -0.227; -0.365; -0.147; -0.138; -0.308; -0.226; -0.128 eV/atom.
It is found that the E_tot values, taken in the order of the records, are -5.30; -6.26; -4.10; -4.25; -4.96; -4.47; -4.54; -3.67 eV/atom.